Entry from Alexandria via LeMat-Bulk: crystalline CaMnI2O at its relaxed geometry (GGA+U).

As for the calculated volume: 26.68 Å³/atom. The calculated density is 4.54 Mg/m³. The value obtained for the size of the total moment is 4.75 μB per cell. Its polymorph energy (0 for the lowest one) is 0.000 eV per atom.

The space group is P4/mmm (No. 123) and the conventional cell measures 5.874, 5.874 and 3.866 Å, with angles of 90.00, 90.00 and 90.00 degrees. The inequivalent atoms are Ca at (0.000, 0.000, 0.000), Mn at (0.500, 0.500, 0.500), I at (0.000, 0.500, 0.500) and O at (0.500, 0.500, 0.000).